A plane-wave DFT calculation with GGA-PBE was carried out for a relaxed structure of LaGdYLu.

```
LaGdYLu
1.0
0.0000 4.0505 4.0505
4.0505 0.0000 4.0505
4.0505 4.0505 0.0000
La Gd Y Lu
1 1 1 1
direct
0.0000 0.0000 0.0000
0.5000 0.5000 0.5000
0.7500 0.7500 0.7500
0.2500 0.2500 0.2500
```

Summary:
- DFT formation energy (eV per atom) = 0.084
- crystal system = cubic

=====

A plane-wave DFT calculation with GGA-PBE was carried out for a relaxed structure of Tl2Hg13.

```
Tl2Hg13
1.0
4.2609 2.4601 7.0781
-4.2609 2.4601 7.0781
0.0000 -4.9201 7.0781
Tl Hg
2 13
direct
0.1589 0.1589 0.1589
0.8411 0.8411 0.8411
0.0000 0.0000 0.0000
0.1608 0.1608 0.5404
0.1608 0.5404 0.1608
0.3066 0.6893 0.6893
0.3107 0.3107 0.6934
0.3107 0.6934 0.3107
0.4596 0.8392 0.8392
0.5404 0.1608 0.1608
0.6893 0.3066 0.6893
0.6893 0.6893 0.3066
0.6934 0.3107 0.3107
0.8392 0.4596 0.8392
0.8392 0.8392 0.4596
```

Summary:
- DFT formation energy (eV per atom) = 0.019
- crystal system = trigonal
- distance to the lowest polymorph of the same formula (eV per atom) = 0.000

=====

A plane-wave DFT calculation with GGA-PBE was carried out for a relaxed structure of TlRe2Os.

```
TlRe2Os
1.0
3.9479 0.0000 0.0000
0.0000 3.9479 0.0000
0.0000 0.0000 4.2103
Tl Re Os
1 2 1
direct
0.0000 0.0000 0.0000
0.0000 0.5000 0.5000
0.5000 0.0000 0.5000
0.5000 0.5000 0.0000
```

Summary:
- DFT formation energy (eV per atom) = 1.099
- crystal system = tetragonal
- distance to the lowest polymorph of the same formula (eV per atom) = 0.514

=====

A plane-wave DFT calculation with GGA-PBE was carried out for a relaxed structure of ScGaAsSe2.

```
ScGaAsSe2
1.0
5.0904 0.0000 0.0000
0.0000 5.0904 0.0000
0.0000 0.0000 5.4393
Sc Ga As Se
1 1 1 2
direct
0.0000 0.0000 0.0000
0.0000 0.0000 0.5000
0.5000 0.5000 0.5000
0.0000 0.5000 0.0000
0.5000 0.0000 0.0000
```

Summary:
- crystal system = tetragonal
- uncorrected formation energy (eV/atom) = 0.13
- distance to the lowest polymorph of the same formula (eV per atom) = 0.379

=====

A plane-wave DFT calculation with GGA-PBE was carried out for a relaxed structure of TaInCu.

```
TaInCu
1.0
2.1172 1.2224 7.4011
-2.1172 1.2224 7.4011
0.0000 -2.4448 7.4011
Ta In Cu
2 2 2
direct
0.2057 0.2057 0.2057
0.7943 0.7943 0.7943
0.3737 0.3737 0.3737
0.6263 0.6263 0.6263
0.0868 0.0868 0.0868
0.9132 0.9132 0.9132
```

Summary:
- DFT formation energy (eV per atom) = 0.385
- crystal system = trigonal

=====

A plane-wave DFT calculation with GGA-PBE was carried out for a relaxed structure of MgSc3Be.

```
MgSc3Be
1.0
4.9142 0.0000 0.0000
0.0000 4.9142 0.0000
0.0000 0.0000 4.9142
Mg Sc Be
1 3 1
direct
0.0000 0.0000 0.0000
0.0000 0.5000 0.5000
0.5000 0.0000 0.5000
0.5000 0.5000 0.0000
0.5000 0.5000 0.5000
```

Summary:
- DFT formation energy (eV per atom) = 0.260
- crystal system = cubic
- distance to the lowest polymorph of the same formula (eV per atom) = 0.000

=====

A plane-wave DFT calculation with GGA-PBE was carried out for a relaxed structure of Cd2TeO.

```
Cd2TeO
1.0
-2.9477 2.9477 5.7050
2.9477 -2.9477 5.7050
2.9477 2.9477 -5.7050
Cd Te O
4 2 2
direct
0.0356 0.6250 0.9106
0.3750 0.2856 0.4106
0.7144 0.1250 0.0894
0.8750 0.9644 0.5894
0.2500 0.7500 0.5000
0.5000 0.5000 0.0000
0.0000 0.0000 0.0000
0.7500 0.2500 0.5000
```

Summary:
- crystal system = tetragonal
- uncorrected formation energy (eV/atom) = -0.65
- distance to the lowest polymorph of the same formula (eV per atom) = 0.000

=====

A plane-wave DFT calculation with GGA-PBE was carried out for a relaxed structure of La6CoOs.

```
La6CoOs
1.0
3.4417 1.9870 6.6453
-3.4417 1.9870 6.6453
0.0000 -3.9741 6.6453
La Co Os
6 1 1
direct
0.0835 0.4108 0.7536
0.2464 0.9165 0.5892
0.4108 0.7536 0.0835
0.5892 0.2464 0.9165
0.7536 0.0835 0.4108
0.9165 0.5892 0.2464
0.0000 0.0000 0.0000
0.5000 0.5000 0.5000
```

Summary:
- DFT formation energy (eV per atom) = -0.102
- crystal system = trigonal

=====

A plane-wave DFT calculation with GGA-PBE was carried out for a relaxed structure of YZrHg.

```
YZrHg
1.0
-1.7148 1.7148 6.3781
1.7148 -1.7148 6.3781
1.7148 1.7148 -6.3781
Y Zr Hg
1 1 1
direct
0.0000 0.0000 0.0000
0.3228 0.3228 0.0000
0.6723 0.6723 0.0000
```

Summary:
- DFT formation energy (eV per atom) = -0.204
- crystal system = tetragonal
- distance to the lowest polymorph of the same formula (eV per atom) = 0.043

=====

A plane-wave DFT calculation with GGA-PBE was carried out for a relaxed structure of PrDyHo2Er6.

```
PrDyHo2Er6
1.0
4.5281 -7.4772 0.0000
4.5281 7.4772 0.0000
-1.0632 0.0000 9.3794
Pr Dy Ho Er
2 2 4 12
direct
0.0274 0.9726 0.7500
0.9726 0.0274 0.2500
0.4100 0.5900 0.2500
0.5900 0.4100 0.7500
0.1986 0.3049 0.5476
0.3049 0.1986 0.0476
0.6951 0.8014 0.9524
0.8014 0.6951 0.4524
0.0181 0.5645 0.6819
0.1237 0.7507 0.0579
0.2493 0.8763 0.4421
0.2913 0.5112 0.8832
0.4355 0.9819 0.8181
0.4888 0.7087 0.6168
0.5112 0.2913 0.3832
0.5645 0.0181 0.1819
0.7087 0.4888 0.1168
0.7507 0.1237 0.5579
0.8763 0.2493 0.9421
0.9819 0.4355 0.3181
```

Summary:
- DFT formation energy (eV per atom) = 0.123
- crystal system = monoclinic

=====

A plane-wave DFT calculation with GGA-PBE was carried out for a relaxed structure of YTi2Ru2.

```
YTi2Ru2
1.0
-2.2056 2.2056 4.9806
2.2056 -2.2056 4.9806
2.2056 2.2056 -4.9806
Y Ti Ru
1 2 2
direct
0.0000 0.0000 0.0000
0.3620 0.3620 0.0000
0.6380 0.6380 0.0000
0.2500 0.7500 0.5000
0.7500 0.2500 0.5000
```

Summary:
- DFT formation energy (eV per atom) = -0.211
- crystal system = tetragonal
- distance to the lowest polymorph of the same formula (eV per atom) = 0.225

=====

A plane-wave DFT calculation with GGA-PBE was carried out for a relaxed structure of Ti2VSe.

```
Ti2VSe
1.0
-3.5759 3.5759 2.6968
3.5759 -3.5759 2.6968
3.5759 3.5759 -2.6968
Ti V Se
4 2 2
direct
0.1008 0.6250 0.9758
0.3750 0.3508 0.4758
0.6492 0.1250 0.0242
0.8750 0.8992 0.5242
0.2500 0.7500 0.5000
0.5000 0.5000 0.0000
0.0000 0.0000 0.0000
0.7500 0.2500 0.5000
```

Summary:
- crystal system = tetragonal
- uncorrected formation energy (eV/atom) = 0.10

=====

Number 1: magnetization 1.871 μB per atom, total DFT energy (no corrections) -7.414 eV/atom. Number 2: magnetization 0.000 μB per atom, total DFT energy (no corrections) -0.558 eV/atom. Number 3: magnetization 0.014 μB per atom, total DFT energy (no corrections) -8.524 eV/atom. Number 4: magnetization 0.299 μB per atom, total DFT energy (no corrections) -4.066 eV/atom. Number 5: magnetization 0.000 μB per atom, total DFT energy (no corrections) -5.844 eV/atom. Number 6: magnetization 0.000 μB per atom, total DFT energy (no corrections) -4.604 eV/atom. Number 7: magnetization 0.000 μB per atom, total DFT energy (no corrections) -3.136 eV/atom. Number 8: magnetization 0.000 μB per atom, total DFT energy (no corrections) -6.089 eV/atom. Number 9: magnetization 0.000 μB per atom, total DFT energy (no corrections) -5.308 eV/atom. Number 10: magnetization 0.000 μB per atom, total DFT energy (no corrections) -4.469 eV/atom. Number 11: magnetization 0.329 μB per atom, total DFT energy (no corrections) -8.373 eV/atom. Number 12: magnetization 0.520 μB per atom, total DFT energy (no corrections) -7.003 eV/atom.